(1)
# Rb2Hf2MgSe6

A relaxed structure of Rb2Hf2MgSe6 (PBE, Alexandria via LeMat-Bulk).

POSCAR file:
```
Rb2Hf2MgSe6
1.0
-5.634 3.766 -0.554
2.226 -1.928 6.129
5.616 6.225 -1.302
Se Mg Hf Rb
6 1 2 2
Direct
0.715 0.715 0.685
0.939 0.598 0.315
0.285 0.285 0.315
0.402 0.061 0.685
0.598 0.939 0.315
0.061 0.402 0.685
0.000 0.000 0.500
0.667 0.333 0.500
0.333 0.667 0.500
0.164 0.836 0.000
0.836 0.164 0.000
```

Output
Fermi-level density of states: 0.000 states/eV per cell
Total energy: -0.3958 Ry/atom
Space group: No. 12

=====

(2)
# Rb2Hf2MgTe6

A relaxed structure of Rb2Hf2MgTe6 (PBE, Alexandria via LeMat-Bulk).

POSCAR file:
```
Rb2Hf2MgTe6
1.0
7.308 -0.038 0.072
-3.645 6.334 0.072
-1.291 -2.219 8.740
Te Rb Hf Mg
6 2 2 1
Direct
0.284 0.284 0.312
0.716 0.716 0.688
0.063 0.404 0.689
0.937 0.596 0.311
0.596 0.937 0.311
0.404 0.063 0.689
0.163 0.837 0.000
0.837 0.163 0.000
0.668 0.332 0.500
0.332 0.668 0.500
0.000 0.000 0.500
```

Output
Total energy: -0.3504 Ry/atom
Space group: No. 12

=====

(3)
# RbHfMgV2

A relaxed structure of RbHfMgV2 (PBE, Alexandria via LeMat-Bulk).

POSCAR file:
```
RbHfMgV2
1.0
-2.032 -1.734 -4.458
-2.650 -3.764 2.672
-4.023 3.240 0.574
V Hf Rb Mg
2 1 1 1
Direct
0.000 0.000 0.500
0.500 0.000 0.000
0.500 0.500 0.500
0.000 0.500 0.000
0.000 0.000 0.000
```

Output
Fermi-level density of states: 7.463 states/eV per cell
Energy of formation: 2010 meV/atom
Space group: No. 123